(1)
The following is a GGA-PBE calculation of an optimized crystal structure of TaBe2Re2, from OQMD via LeMat-Bulk.

Calculated values
The space-group type is P4/mbm. As for the total energy: -91.2 eV for the cell shown. Its mass density is 15.3 g cm⁻³.

Cell lengths 6.284, 6.284, 3.145 Å; angles 90.00, 90.00, 90.00 degrees
Sites, in units of the cell vectors:
Be: 0.617 0.117 0.000
Be: 0.117 0.383 0.000
Be: 0.883 0.617 0.000
Be: 0.383 0.883 0.000
Re: 0.326 0.174 0.500
Re: 0.826 0.326 0.500
Re: 0.174 0.674 0.500
Re: 0.674 0.826 0.500
Ta: 0.000 0.000 0.000
Ta: 0.500 0.500 0.000



(2)
The following is a GGA-PBE calculation of an optimized crystal structure of Pr2NdIn3AgPt2, from OQMD via LeMat-Bulk.

Calculated values
The space-group type is Amm2. As for the total energy: -44.6 eV for the cell shown. Its mass density is 9.7 g cm⁻³.

Cell lengths 4.040, 7.877, 7.877 Å; angles 119.98, 90.00, 90.00 degrees
Sites, in units of the cell vectors:
Ag: 0.000 0.001 0.001
In: 0.500 0.260 0.001
In: 0.500 0.001 0.260
In: 0.500 0.740 0.740
Nd: 0.000 0.414 0.414
Pr: 0.000 0.000 0.586
Pr: 0.000 0.586 0.000
Pt: 0.500 0.666 0.334
Pt: 0.500 0.334 0.666



(3)
The following is a GGA-PBE calculation of an optimized crystal structure of SrCoAgSe3, from OQMD via LeMat-Bulk.

Calculated values
The space-group type is Cmcm. As for the total energy: -50.3 eV for the cell shown. Its mass density is 6.2 g cm⁻³.

Cell lengths 6.907, 6.907, 10.183 Å; angles 90.00, 90.00, 147.00 degrees
Sites, in units of the cell vectors:
Ag: 0.047 0.953 0.250
Ag: 0.953 0.047 0.750
Co: 0.500 0.500 0.000
Co: 0.500 0.500 0.500
Se: 0.121 0.879 0.020
Se: 0.418 0.582 0.250
Se: 0.121 0.879 0.480
Se: 0.879 0.121 0.520
Se: 0.582 0.418 0.750
Se: 0.879 0.121 0.980
Sr: 0.740 0.260 0.250
Sr: 0.260 0.740 0.750



(4)
The following is a GGA-PBE calculation of an optimized crystal structure of RbPbAuSeS2, from OQMD via LeMat-Bulk.

Calculated values
The space-group type is Cmcm. As for the total energy: -43.7 eV for the cell shown. Its mass density is 5.8 g cm⁻³.

Cell lengths 7.427, 7.427, 11.584 Å; angles 90.00, 90.00, 145.29 degrees
Sites, in units of the cell vectors:
Au: 0.414 0.586 0.250
Au: 0.586 0.414 0.750
Pb: 0.000 0.000 0.000
Pb: 0.000 0.000 0.500
Rb: 0.722 0.278 0.250
Rb: 0.278 0.722 0.750
S: 0.374 0.626 0.051
S: 0.374 0.626 0.449
S: 0.626 0.374 0.551
S: 0.626 0.374 0.949
Se: 0.022 0.978 0.250
Se: 0.978 0.022 0.750